[1]
Density functional theory data (PBE-GGA) for an optimized crystal structure of Sn2AsBr.

E_form (uncorrected): -56 meV/atom
Energy above the lowest structure with this stoichiometry: 0.222 eV/atom

Cell and atoms, written as POSCAR:
```
Sn2AsBr
1.0
-3.948 3.948 3.969
3.948 -3.948 3.969
3.948 3.948 -3.969
Sn As Br
4 2 2
Cartesian
5.922 1.674 -0.992
1.674 1.974 0.992
-1.974 2.274 2.976
2.274 1.974 4.961
0.000 0.000 0.000
0.000 3.948 1.984
3.948 0.000 1.984
0.000 0.000 3.969
```


[2]
Density functional theory data (PBE-GGA) for an optimized crystal structure of LaSc2Sn2.

Energy of formation from the pure elements: -0.5659 eV/atom
Energy above the lowest structure with this stoichiometry: 0.067 eV/atom

Cell and atoms, written as POSCAR:
```
LaSc2Sn2
1.0
8.762 0.000 0.000
0.000 8.762 0.000
0.000 0.000 3.294
La Sc Sn
2 4 4
Cartesian
0.000 0.000 0.000
4.381 4.381 0.000
1.077 3.304 0.000
3.304 7.685 0.000
5.458 1.077 0.000
7.685 5.458 0.000
1.517 5.898 1.647
2.864 1.517 1.647
5.898 7.245 1.647
7.245 2.864 1.647
```


[3]
Density functional theory data (PBE-GGA) for an optimized crystal structure of YPuBr2.

E_form (uncorrected): -767 meV/atom

Cell and atoms, written as POSCAR:
```
YPuBr2
1.0
2.130 1.230 6.449
-2.130 1.230 6.449
0.000 -2.460 6.449
Y Pu Br
1 1 2
Cartesian
0.000 0.000 0.000
0.000 0.000 9.674
0.000 0.000 4.856
0.000 0.000 14.492
```


[4]
Density functional theory data (PBE-GGA) for an optimized crystal structure of K3IBr6.

E_form (uncorrected): -1053 meV/atom

Cell and atoms, written as POSCAR:
```
K3IBr6
1.0
5.282 0.000 0.000
0.000 8.751 0.000
-4.768 0.000 17.297
K I Br
6 2 12
Cartesian
0.000 0.000 0.000
-2.384 4.375 8.648
-2.526 1.484 12.603
-0.141 2.892 3.955
0.655 5.859 13.342
3.040 7.267 4.693
0.257 0.000 8.648
2.641 4.375 0.000
-1.413 1.329 6.924
-3.797 3.047 15.572
-1.953 4.629 11.913
0.431 8.497 3.264
0.120 6.444 7.205
-2.264 6.683 15.853
2.778 2.068 1.444
0.394 2.307 10.092
0.083 0.254 14.033
2.467 4.122 5.384
4.311 5.704 1.725
1.927 7.422 10.373
```


[5]
Density functional theory data (PBE-GGA) for an optimized crystal structure of Li4BeCu.

Energy of formation from the pure elements: 0.3352 eV/atom

Cell and atoms, written as POSCAR:
```
Li4BeCu
1.0
0.000 3.397 3.397
3.397 0.000 3.397
3.397 3.397 0.000
Li Be Cu
4 1 1
Cartesian
0.850 0.850 0.850
2.548 2.548 0.850
2.548 0.850 2.548
0.850 2.548 2.548
5.096 5.096 5.096
3.397 3.397 3.397
```


[6]
Density functional theory data (PBE-GGA) for an optimized crystal structure of Rb5Au2.

Energy of formation from the pure elements: -0.1721 eV/atom

Cell and atoms, written as POSCAR:
```
Rb5Au2
1.0
9.675 -4.061 0.000
9.675 4.061 0.000
-1.259 0.000 9.313
Rb Au
10 4
Cartesian
8.731 3.443 6.984
3.821 0.642 3.020
7.890 0.949 0.739
3.192 -0.642 7.676
10.831 0.949 3.917
7.260 -0.949 5.396
14.899 0.642 1.636
10.201 -0.949 8.573
14.269 -0.642 6.293
9.360 -3.443 2.328
7.170 2.373 3.926
11.551 2.373 0.731
6.540 -2.373 8.582
10.921 -2.373 5.387
```


[7]
Density functional theory data (PBE-GGA) for an optimized crystal structure of Rb2CoNi2.

Energy of formation from the pure elements: 1.0000 eV/atom
Energy above the lowest structure with this stoichiometry: 0.000 eV/atom

Cell and atoms, written as POSCAR:
```
Rb2CoNi2
1.0
-1.663 1.663 11.201
1.663 -1.663 11.201
1.663 1.663 -11.201
Rb Co Ni
2 1 2
Cartesian
0.000 0.000 2.639
0.000 0.000 19.764
0.000 0.000 11.201
1.663 0.000 5.601
0.000 1.663 5.601
```


[8]
Density functional theory data (PBE-GGA) for an optimized crystal structure of HfTl2Br4Cl2.

E_form (uncorrected): -1313 meV/atom

Cell and atoms, written as POSCAR:
```
HfTl2Br4Cl2
1.0
6.438 -3.804 0.000
6.438 3.804 0.000
-4.497 0.000 6.187
Hf Tl Br Cl
1 2 4 2
Cartesian
0.000 0.000 0.000
-0.215 0.000 4.675
8.594 0.000 1.512
5.018 1.946 1.219
3.361 1.946 4.968
5.018 -1.946 1.219
3.361 -1.946 4.968
1.580 0.000 1.861
6.799 0.000 4.326
```


[9]
Density functional theory data (PBE-GGA) for an optimized crystal structure of PHOsN.

Energy above the lowest structure with this stoichiometry: 0.300 eV/atom

Cell and atoms, written as POSCAR:
```
PHOsN
1.0
3.234 0.000 0.000
1.485 3.426 0.000
1.567 1.177 3.783
P H Os N
1 1 1 1
Cartesian
0.000 0.000 0.000
3.268 2.611 2.835
1.593 1.256 1.296
3.226 2.612 1.796
```


[10]
Density functional theory data (PBE-GGA) for an optimized crystal structure of Al4FeMo.

Energy of formation from the pure elements: 0.1205 eV/atom

Cell and atoms, written as POSCAR:
```
Al4FeMo
1.0
0.000 3.560 3.560
3.560 0.000 3.560
3.560 3.560 0.000
Al Fe Mo
4 1 1
Cartesian
0.888 0.888 0.888
2.672 2.672 0.888
2.672 0.888 2.672
0.888 2.672 2.672
5.340 5.340 5.340
3.560 3.560 3.560
```


Magnetic moment per entry: 0.000, 0.423, 6.062, 0.000, 0.000, 0.000, 2.855, 0.000, 0.474, 3.935 μB per formula unit
V per entry: 247, 253, 101, 800, 78, 732, 124, 303, 42, 90 Å³/cell
Density of states at the Fermi level per entry: 2.10, 10.08, 6.66, 0.00, 2.29, 8.77, 9.27, 0.00, 1.24, 3.41 states/eV per cell